Below is a relaxed Tl2AgW crystal, with properties calculated at the GGA-PBE level.

Calculated values
- VASP energy (eV/cell) = -16.77
- ρ (kg/m³) = 14024
- ΔH_f (0 K) (meV/atom) = 941
- crystal system = tetragonal
- ΔE to the lowest computed polymorph (eV/atom) = 0.244

Unit cell a=5.763 b=5.763 c=5.763 alpha=138.57 beta=138.57 gamma=60.03
Site moments in Bohr magnetons follow the coordinates.
Sites, in units of the cell vectors:
W 0.500 0.500 0.000  0.57
Tl 0.000 0.000 0.000  -0.02
Tl 0.250 0.750 0.500  0.01
Ag 0.750 0.250 0.500  0.02